(1)
MgMoRu | PBE | optimized geometry

The size of the total moment comes out at 0.000 μB per atom. As for the energy above the most stable polymorph in this dataset: 11.0 kJ per mole of atoms. The formation energy from the elements is 126 meV/atom.

It has space group P3m1 (No. 156), with a = 4.3870 Å, b = 4.3870 Å, c = 2.8111 Å, α = 90.00°, β = 90.00° and γ = 120.00°. The asymmetric unit holds Mg at (0.0000, 0.0000, 0.0000), Mo at (0.6667, 0.3333, 0.4063) and Ru at (0.3333, 0.6667, 0.6344).


(2)
Mg3MoRu | PBE | optimized geometry

The size of the total moment comes out at 0.000 μB per atom. As for the energy above the most stable polymorph in this dataset: 0.0 kJ per mole of atoms. The formation energy from the elements is 1172 meV/atom.

It has space group Pm-3m (No. 221), with a = 4.732 Å, b = 4.732 Å, c = 4.732 Å, α = 90.00°, β = 90.00° and γ = 90.00°. The asymmetric unit holds Mg at (0.000, 0.000, 0.500), Mo at (0.500, 0.500, 0.500) and Ru at (0.000, 0.000, 0.000).


(3)
Mg3MoRu | PBE | optimized geometry

The size of the total moment comes out at 0.949 μB per atom. As for the energy above the most stable polymorph in this dataset: 52.4 kJ per mole of atoms. The formation energy from the elements is 1715 meV/atom.

It has space group Pm-3m (No. 221), with a = 5.035 Å, b = 5.035 Å, c = 5.035 Å, α = 90.00°, β = 90.00° and γ = 90.00°. The asymmetric unit holds Mg at (0.000, 0.000, 0.500), Mo at (0.000, 0.000, 0.000) and Ru at (0.500, 0.500, 0.500).


(4)
MgMo2Ru2 | PBE | optimized geometry

The size of the total moment comes out at 0.000 μB per atom. As for the energy above the most stable polymorph in this dataset: 0.0 kJ per mole of atoms. The formation energy from the elements is 99 meV/atom.

It has space group P4/mbm (No. 127), with a = 7.559 Å, b = 7.559 Å, c = 2.855 Å, α = 90.00°, β = 90.00° and γ = 90.00°. The asymmetric unit holds Mg at (0.000, 0.000, 0.000), Mo at (0.163, 0.337, 0.500) and Ru at (0.130, 0.630, 0.000).


(5)
MgMoRu4 | PBE | optimized geometry

The size of the total moment comes out at 0.000 μB per atom. The formation energy from the elements is 237 meV/atom.

It has space group F-43m (No. 216), with a = 7.197 Å, b = 7.197 Å, c = 7.197 Å, α = 90.00°, β = 90.00° and γ = 90.00°. The asymmetric unit holds Mg at (0.000, 0.000, 0.000), Mo at (0.250, 0.250, 0.750) and Ru at (0.125, 0.125, 0.375).


(6)
MgMoRu | PBE | optimized geometry

The size of the total moment comes out at 0.000 μB per atom. As for the energy above the most stable polymorph in this dataset: 40.7 kJ per mole of atoms. The formation energy from the elements is 434 meV/atom.

It has space group F-43m (No. 216), with a = 6.014 Å, b = 6.014 Å, c = 6.014 Å, α = 90.00°, β = 90.00° and γ = 90.00°. The asymmetric unit holds Mg at (0.000, 0.000, 0.000), Mo at (0.000, 0.000, 0.500) and Ru at (0.250, 0.250, 0.250).


(7)
MgMoRu | PBE | optimized geometry

The size of the total moment comes out at 0.000 μB per atom. As for the energy above the most stable polymorph in this dataset: 4.0 kJ per mole of atoms. The formation energy from the elements is 54 meV/atom.

It has space group Pnma (No. 62), with a = 6.649 Å, b = 4.197 Å, c = 7.476 Å, α = 90.00°, β = 90.00° and γ = 90.00°. The asymmetric unit holds Mg at (0.017, 0.250, 0.179), Mo at (0.158, 0.250, 0.570) and Ru at (0.213, 0.750, 0.391).


(8)
MgMo2Ru2 | PBE | optimized geometry

The size of the total moment comes out at 0.000 μB per atom. As for the energy above the most stable polymorph in this dataset: 5.1 kJ per mole of atoms. The formation energy from the elements is 152 meV/atom.

It has space group P4/mbm (No. 127), with a = 7.652 Å, b = 7.652 Å, c = 2.809 Å, α = 90.00°, β = 90.00° and γ = 90.00°. The asymmetric unit holds Mg at (0.000, 0.000, 0.000), Mo at (0.119, 0.381, 0.000) and Ru at (0.172, 0.672, 0.500).


(9)
MgMoRu | PBE | optimized geometry

The size of the total moment comes out at 0.000 μB per atom. As for the energy above the most stable polymorph in this dataset: 0.0 kJ per mole of atoms. The formation energy from the elements is 13 meV/atom.

It has space group I4mm (No. 107), with a = 3.072 Å, b = 3.072 Å, c = 10.110 Å, α = 90.00°, β = 90.00° and γ = 90.00°. The asymmetric unit holds Mg at (0.000, 0.000, 0.000), Mo at (0.000, 0.000, 0.311) and Ru at (0.000, 0.000, 0.673).


(10)
MgMoRu2W | PBE | optimized geometry

The size of the total moment comes out at 0.079 μB per atom. The formation energy from the elements is 1831 meV/atom.

It has space group P4/mmm (No. 123), with a = 4.325 Å, b = 4.325 Å, c = 4.496 Å, α = 90.00°, β = 90.00° and γ = 90.00°. The asymmetric unit holds Mg at (0.000, 0.000, 0.000), Mo at (0.000, 0.000, 0.500), Ru at (0.000, 0.500, 0.000) and W at (0.500, 0.500, 0.500).


(11)
MgZnMoRu | PBE | optimized geometry

The size of the total moment comes out at 0.000 μB per atom. The formation energy from the elements is -4 meV/atom.

It has space group F-43m (No. 216), with a = 6.229 Å, b = 6.229 Å, c = 6.229 Å, α = 90.00°, β = 90.00° and γ = 90.00°. The asymmetric unit holds Mg at (0.000, 0.000, 0.000), Zn at (0.250, 0.250, 0.750), Mo at (0.000, 0.000, 0.500) and Ru at (0.250, 0.250, 0.250).


(12)
MgMoS3 | PBE | optimized geometry

The size of the total moment comes out at 0.000 μB per atom. The raw formation energy comes out at -0.944 eV/f.u. As for the energy above the most stable polymorph in this dataset: 0.0 kJ per mole of atoms.

It has space group Pm-3m (No. 221), with a = 4.705 Å, b = 4.705 Å, c = 4.705 Å, α = 90.00°, β = 90.00° and γ = 90.00°. The asymmetric unit holds Mg at (0.000, 0.000, 0.000), Mo at (0.500, 0.500, 0.500) and S at (0.000, 0.500, 0.500).